Computed, not measured: an optimized crystal structure of Na2Sb2S at the PBE level of DFT.

* Fermi-level density of states: 5.16 states/eV/cell
* E_form (uncorrected): -0.1934 eV per atom
* DFT total energy: -3.195 eV per atom

abc: 7.4630 7.4630 4.9048
angles: 90.00 90.00 90.00
Fractional coordinates of all 10 atoms:
Sb 0.6404 0.1404 0.0000
Sb 0.1404 0.3596 0.0000
Sb 0.3596 0.8596 0.0000
Sb 0.8596 0.6404 0.0000
Na 0.1679 0.6679 0.5000
Na 0.8321 0.3321 0.5000
Na 0.3321 0.1679 0.5000
Na 0.6679 0.8321 0.5000
S 0.5000 0.5000 0.0000
S 0.0000 0.0000 0.0000